# K2Na3Hg3

A geometry-optimized K2Na3Hg3 structure (PBE, Alexandria via LeMat-Bulk).

Properties
Energy of formation   -0.14 eV per atom

a b c (Å): 3.6455 9.3346 9.3346
angles (deg): 120.00 90.00 90.00
Last column: nearest neighbours and their distance in Å.
Fractional coordinates of all 8 atoms:
K  0.0000  0.6667  0.3333  6 Hg 3.61, 2 K 3.65, 3 Na 3.74
K  0.0000  0.3333  0.6667  6 Hg 3.61, 2 K 3.65, 3 Na 3.74
Na  0.0000  0.2221  0.2221  4 Hg 3.29, 4 Na 3.59-3.65
Na  0.0000  0.0000  0.7779  4 Hg 3.29, 4 Na 3.59-3.65
Na  0.0000  0.7779  0.0000  4 Hg 3.29, 4 Na 3.59-3.65
Hg  0.5000  0.6677  0.6677  4 Na 3.29, 4 K 3.61, 2 Hg 3.65
Hg  0.5000  0.0000  0.3323  4 Na 3.29, 4 K 3.61, 2 Hg 3.65
Hg  0.5000  0.3323  0.0000  4 Na 3.29, 4 K 3.61, 2 Hg 3.65

# Tb3Pr6SmEr2

A geometry-optimized Tb3Pr6SmEr2 structure (PBE, Alexandria via LeMat-Bulk).

Properties
Energy of formation   0.01 eV per atom

a b c (Å): 6.3168 6.3168 11.9242
angles (deg): 95.05 95.05 120.00
Last column: nearest neighbours and their distance in Å.
Fractional coordinates of all 12 atoms:
Tb  0.1668  0.8332  0.5000  6 Pr 3.61-3.62, 6 Tb 3.65
Tb  0.8332  0.1668  0.5000  6 Pr 3.61-3.62, 6 Tb 3.65
Tb  0.5000  0.5000  0.5000  6 Pr 3.61-3.62, 6 Tb 3.65
Pr  0.9165  0.5825  0.7502  2 Er 3.61, 3 Tb 3.61-3.62, 1 Sm 3.61, 6 Pr 3.64-3.65
Pr  0.7496  0.7496  0.2496  2 Er 3.61, 1 Sm 3.61, 3 Tb 3.61-3.62, 6 Pr 3.64-3.65
Pr  0.0835  0.4175  0.2498  2 Er 3.61, 3 Tb 3.61-3.62, 1 Sm 3.61, 6 Pr 3.64-3.65
Pr  0.5825  0.9165  0.7502  2 Er 3.61, 3 Tb 3.61-3.62, 1 Sm 3.61, 6 Pr 3.64-3.65
Pr  0.2504  0.2504  0.7504  2 Er 3.61, 1 Sm 3.61, 3 Tb 3.61-3.62, 6 Pr 3.64-3.65
Pr  0.4175  0.0835  0.2498  2 Er 3.61, 3 Tb 3.61-3.62, 1 Sm 3.61, 6 Pr 3.64-3.65
Sm  0.0000  0.0000  0.0000  6 Pr 3.61, 6 Er 3.65
Er  0.3334  0.6666  0.0000  6 Pr 3.61, 3 Er 3.65, 3 Sm 3.65
Er  0.6666  0.3334  0.0000  6 Pr 3.61, 3 Er 3.65, 3 Sm 3.65

# Al3BN4

A geometry-optimized Al3BN4 structure (PBE, Alexandria via LeMat-Bulk).

Properties
Raw total energy   -0.560 Ry/atom

a b c (Å): 4.8069 5.1837 5.9953
angles (deg): 90.00 90.00 90.00
Last column: nearest neighbours and their distance in Å.
Fractional coordinates of all 16 atoms:
Al  0.5068  0.8478  0.0000  4 N 1.88-1.94
Al  0.0066  0.6718  0.2484  4 N 1.86-1.91
Al  0.5066  0.3282  0.2516  4 N 1.86-1.91
Al  0.0068  0.1522  0.5000  4 N 1.88-1.94
Al  0.5066  0.3282  0.7484  4 N 1.86-1.91
Al  0.0066  0.6718  0.7516  4 N 1.86-1.91
B  0.9985  0.1710  0.0000  4 N 1.60-1.64
B  0.4985  0.8290  0.5000  4 N 1.60-1.64
N  0.1091  0.8756  0.0000  1 B 1.62
N  0.6666  0.1779  0.0000  1 B 1.60
N  0.1106  0.3191  0.2234  1 B 1.64
N  0.6106  0.6809  0.2766  1 B 1.64
N  0.1666  0.8221  0.5000  1 B 1.60
N  0.6091  0.1244  0.5000  1 B 1.62
N  0.6106  0.6809  0.7234  1 B 1.64
N  0.1106  0.3191  0.7766  1 B 1.64

# LaHgS

A geometry-optimized LaHgS structure (PBE, Alexandria via LeMat-Bulk).

Properties
Raw total energy   -0.308 Ry/atom

a b c (Å): 4.3995 4.3995 13.8170
angles (deg): 80.84 80.84 60.00
Last column: nearest neighbours and their distance in Å.
Fractional coordinates of all 6 atoms:
S  0.5506  0.5506  0.3482  3 La 2.75
S  0.4494  0.4494  0.6518  3 La 2.75
Hg  0.0351  0.0351  0.8947  1 Hg 2.86
Hg  0.9649  0.9649  0.1053  1 Hg 2.86
La  0.2434  0.2434  0.2697  3 S 2.75
La  0.7566  0.7566  0.7303  3 S 2.75

# Pr6NdHg

A geometry-optimized Pr6NdHg structure (PBE, Alexandria via LeMat-Bulk).

Properties
E above lowest polymorph   33.6 meV per atom
Energy of formation   -0.03 eV per atom

a b c (Å): 9.6799 8.8229 6.5476
angles (deg): 47.68 42.41 56.84
Last column: nearest neighbours and their distance in Å.
Fractional coordinates of all 8 atoms:
Pr  0.0435  0.4416  0.7539  1 Hg 3.21, 2 Pr 3.38-3.42
Pr  0.7611  0.9576  0.7226  1 Hg 3.21, 2 Pr 3.37-3.42
Pr  0.5590  0.2389  0.1600  1 Hg 3.21, 2 Pr 3.37-3.42
Pr  0.2389  0.0424  0.2774  1 Hg 3.21, 2 Pr 3.37-3.42
Pr  0.9565  0.5584  0.2461  1 Hg 3.21, 2 Pr 3.38-3.42
Pr  0.4410  0.7611  0.8400  1 Hg 3.21, 2 Pr 3.37-3.42
Nd  0.5000  0.5000  0.5000  12 Pr 3.61-3.78
Hg  0.0000  0.0000  0.0000  6 Pr 3.21

# Li4Th3NiSe8

A geometry-optimized Li4Th3NiSe8 structure (PBE, Alexandria via LeMat-Bulk).

Properties
Raw total energy   -0.386 Ry/atom

a b c (Å): 7.9777 8.0653 8.2518
angles (deg): 120.75 118.91 90.00
Last column: nearest neighbours and their distance in Å.
Fractional coordinates of all 16 atoms:
Li  0.5000  0.0000  0.0000  2 Se 2.67
Li  0.5000  0.0000  0.5000  6 Se 2.72-2.95
Li  0.0000  0.0000  0.0000  6 Se 2.78-2.91
Li  0.0000  0.0000  0.5000  6 Se 2.72-2.95
Th  0.5000  0.5000  0.0000  6 Se 2.91-2.96
Th  0.5000  0.5000  0.5000  6 Se 2.91-2.96
Th  0.0000  0.5000  0.5000  6 Se 2.91-2.96
Ni  0.0000  0.5000  0.0000  4 Se 2.61
Se  0.2229  0.7348  0.9984  1 Ni 2.61, 1 Li 2.78, 1 Th 2.91
Se  0.2726  0.7837  0.5453  3 Li 2.67-2.79, 2 Th 2.91
Se  0.2476  0.2271  0.4951  3 Li 2.72-2.91, 3 Th 2.96
Se  0.7755  0.7348  0.9984  1 Ni 2.61, 1 Li 2.78, 1 Th 2.91
Se  0.2245  0.2652  0.0016  1 Ni 2.61, 1 Li 2.78, 1 Th 2.91
Se  0.7524  0.7729  0.5049  3 Li 2.72-2.91, 3 Th 2.96
Se  0.7274  0.2163  0.4547  3 Li 2.67-2.79, 2 Th 2.91
Se  0.7771  0.2652  0.0016  1 Ni 2.61, 1 Li 2.78, 1 Th 2.91

# Sr4HAu2

A geometry-optimized Sr4HAu2 structure (PBE, Alexandria via LeMat-Bulk).

Properties
E above lowest polymorph   0.0 meV per atom

a b c (Å): 7.2687 7.5040 8.5479
angles (deg): 90.00 107.03 90.00
Last column: nearest neighbours and their distance in Å.
Fractional coordinates of all 14 atoms:
Sr  0.4900  0.5076  0.2517  1 H 2.42
Sr  0.0758  0.7500  0.9019  1 H 2.46
Sr  0.9242  0.2500  0.0981  1 H 2.46
Sr  0.4900  0.9924  0.2517  1 H 2.42
Sr  0.9432  0.2500  0.6207  1 H 2.47
Sr  0.5100  0.0076  0.7483  1 H 2.42
Sr  0.5100  0.4924  0.7483  1 H 2.42
Sr  0.0568  0.7500  0.3793  1 H 2.47
H  0.2594  0.7500  0.1930  4 Sr 2.42-2.47
H  0.7406  0.2500  0.8070  4 Sr 2.42-2.47
Au  0.7141  0.7500  0.0483  6 Sr 3.18-3.26
Au  0.2859  0.2500  0.9517  6 Sr 3.18-3.26
Au  0.2647  0.2500  0.4373  6 Sr 3.17-3.28
Au  0.7353  0.7500  0.5627  6 Sr 3.17-3.28

# CsPmIn2I6

A geometry-optimized CsPmIn2I6 structure (PBE, Alexandria via LeMat-Bulk).

Properties
Raw total energy   -0.228 Ry/atom

a b c (Å): 8.7515 8.7480 9.3195
angles (deg): 61.94 61.92 59.92
Last column: nearest neighbours and their distance in Å.
Fractional coordinates of all 10 atoms:
Cs  0.8109  0.8114  0.5664  6 I 3.82-4.00
Pm  0.3269  0.3268  0.0194  6 I 3.10-3.15
In  0.5175  0.5172  0.4481  6 I 3.48-3.55
In  0.0031  0.0031  0.9910  6 I 3.41-3.57
I  0.5583  0.2491  0.2323  1 Pm 3.10
I  0.2490  0.9598  0.2324  1 Pm 3.10
I  0.9599  0.5588  0.2325  1 Pm 3.10
I  0.3633  0.7124  0.7640  1 Pm 3.15, 2 In 3.41-3.48
I  0.7127  0.1595  0.7646  1 Pm 3.15, 2 In 3.41-3.48
I  0.1600  0.3636  0.7645  1 Pm 3.15, 2 In 3.41-3.48

Values for volume, Å³ per atom, ordered as above
34.39 33.80 9.34 37.94 34.68 23.58 31.84 51.84